Record 1
# YEr2Os (PBE, optimized geometry)
# Excess energy over the best structure of this formula in the dataset (meV/atom): 520.8
# Density (g/cm³): 9.33
# Formation enthalpy at 0 K (meV/atom): 243
# Calculated volume (Å³/f.u.): 109.22
# E (Ha/atom): -0.237
data_YEr2Os
_chemical_formula_sum 'Y3 Er6 Os3'
_space_group_name_H-M_alt 'R -3 m'
_space_group_IT_number 166
_space_group_name_Hall '-R 3 2"'
_cell_length_a 3.4177
_cell_length_b 3.4177
_cell_length_c 32.3906
_cell_angle_alpha 90.00
_cell_angle_beta 90.00
_cell_angle_gamma 120.00
loop_
_atom_site_label
_atom_site_type_symbol
_atom_site_fract_x
_atom_site_fract_y
_atom_site_fract_z
Y1 Y 0.0000 0.0000 0.0000
Er1 Er 0.0000 0.0000 0.1052
Os1 Os 0.0000 0.0000 0.5000



Record 2
# FeW (PBE, optimized geometry)
# Density (g/cm³): 14.02
# Formation enthalpy at 0 K (meV/atom): 592
# Calculated volume (Å³/f.u.): 28.38
# E (Ha/atom): -0.372
data_FeW
_chemical_formula_sum 'Fe8 W8'
_space_group_name_H-M_alt 'I 4/m'
_space_group_IT_number 87
_space_group_name_Hall '-I 4'
_cell_length_a 9.274
_cell_length_b 9.274
_cell_length_c 2.640
_cell_angle_alpha 90.00
_cell_angle_beta 90.00
_cell_angle_gamma 90.00
loop_
_atom_site_label
_atom_site_type_symbol
_atom_site_fract_x
_atom_site_fract_y
_atom_site_fract_z
Fe1 Fe 0.084 0.627 0.000
W1 W 0.121 0.168 0.000



Record 3
# Tb2PaRh4 (PBE, optimized geometry)
# Density (g/cm³): 11.03
# Formation enthalpy at 0 K (meV/atom): -613
# Calculated volume (Å³/f.u.): 144.64
# E (Ha/atom): -0.275
data_Tb2PaRh4
_chemical_formula_sum 'Tb4 Pa2 Rh8'
_space_group_name_H-M_alt 'I 4/m m m'
_space_group_IT_number 139
_space_group_name_Hall '-I 4 2'
_cell_length_a 4.508
_cell_length_b 4.508
_cell_length_c 14.238
_cell_angle_alpha 90.00
_cell_angle_beta 90.00
_cell_angle_gamma 90.00
loop_
_atom_site_label
_atom_site_type_symbol
_atom_site_fract_x
_atom_site_fract_y
_atom_site_fract_z
Tb1 Tb 0.000 0.000 0.236
Pa1 Pa 0.000 0.000 0.500
Rh1 Rh 0.000 0.500 0.111



Record 4
# PuZn3Ga2 (PBE, optimized geometry)
# Excess energy over the best structure of this formula in the dataset (meV/atom): 0.0
# Density (g/cm³): 8.83
# Formation enthalpy at 0 K (meV/atom): -191
# Calculated volume (Å³/f.u.): 109.02
# E (Ha/atom): -0.155
data_PuZn3Ga2
_chemical_formula_sum 'Pu4 Zn12 Ga8'
_space_group_name_H-M_alt 'C 1 2/m 1'
_space_group_IT_number 12
_cell_length_a 15.813
_cell_length_b 4.348
_cell_length_c 6.897
_cell_angle_alpha 90.00
_cell_angle_beta 113.13
_cell_angle_gamma 90.00
loop_
_space_group_symop_operation_xyz
'x,y,z'
'-x,-y,-z'
'-x,y,-z'
'x,-y,z'
'x+1/2,y+1/2,z'
'-x+1/2,-y+1/2,-z'
'-x+1/2,y+1/2,-z'
'x+1/2,-y+1/2,z'
loop_
_atom_site_label
_atom_site_type_symbol
_atom_site_fract_x
_atom_site_fract_y
_atom_site_fract_z
Pu1 Pu 0.122 0.000 0.188
Zn1 Zn 0.065 0.000 0.688
Zn2 Zn 0.136 0.500 0.511
Zn3 Zn 0.195 0.500 0.918
Ga1 Ga 0.017 0.500 0.828
Ga2 Ga 0.232 0.000 0.681



Record 5
# Pm2YCu (PBE, optimized geometry)
# Excess energy over the best structure of this formula in the dataset (meV/atom): 25.6
# Density (g/cm³): 6.51
# Formation enthalpy at 0 K (meV/atom): -53
# Calculated volume (Å³/f.u.): 112.86
# E (Ha/atom): -0.186
data_Pm2YCu
_chemical_formula_sum 'Pm2 Y1 Cu1'
_space_group_name_H-M_alt 'P 4/m m m'
_space_group_IT_number 123
_space_group_name_Hall '-P 4 2'
_cell_length_a 3.611
_cell_length_b 3.611
_cell_length_c 8.657
_cell_angle_alpha 90.00
_cell_angle_beta 90.00
_cell_angle_gamma 90.00
loop_
_atom_site_label
_atom_site_type_symbol
_atom_site_fract_x
_atom_site_fract_y
_atom_site_fract_z
Pm1 Pm 0.000 0.000 0.200
Y1 Y 0.500 0.500 0.500
Cu1 Cu 0.500 0.500 0.000



Record 6
# Li3SmS3 (PBE, optimized geometry)
# E_form (uncorrected) (meV per atom): -1596
# Density (g/cm³): 3.13
# Calculated volume (Å³/f.u.): 141.89
# E (Ha/atom): -0.179
data_Li3SmS3
_chemical_formula_sum 'Li18 Sm6 S18'
_space_group_name_H-M_alt 'R -3'
_space_group_IT_number 148
_space_group_name_Hall '-R 3'
_cell_length_a 7.0707
_cell_length_b 7.0707
_cell_length_c 19.6629
_cell_angle_alpha 90.00
_cell_angle_beta 90.00
_cell_angle_gamma 120.00
loop_
_atom_site_label
_atom_site_type_symbol
_atom_site_fract_x
_atom_site_fract_y
_atom_site_fract_z
Li1 Li 0.0094 0.7027 0.1220
Sm1 Sm 0.0000 0.0000 0.3335
S1 S 0.0039 0.6401 0.9151



Record 7
# CrCuTc (PBE, optimized geometry)
# Excess energy over the best structure of this formula in the dataset (meV/atom): 0.0
# Density (g/cm³): 9.19
# Formation enthalpy at 0 K (meV/atom): 168
# Calculated volume (Å³/f.u.): 38.58
# E (Ha/atom): -0.289
data_CrCuTc
_chemical_formula_sum 'Cr1 Cu1 Tc1'
_space_group_name_H-M_alt 'P 3 m 1'
_space_group_IT_number 156
_cell_length_a 4.2040
_cell_length_b 4.2040
_cell_length_c 2.5208
_cell_angle_alpha 90.00
_cell_angle_beta 90.00
_cell_angle_gamma 120.00
loop_
_space_group_symop_operation_xyz
'x,y,z'
'-y,x-y,z'
'-x+y,-x,z'
'-y,-x,z'
'-x+y,y,z'
'x,x-y,z'
loop_
_atom_site_label
_atom_site_type_symbol
_atom_site_fract_x
_atom_site_fract_y
_atom_site_fract_z
Cr1 Cr 0.0000 0.0000 0.0000
Cu1 Cu 0.6667 0.3333 0.3299
Tc1 Tc 0.3333 0.6667 0.7427



Record 8
# NaTlNi3 (PBE, optimized geometry)
# Excess energy over the best structure of this formula in the dataset (meV/atom): 0.0
# Density (g/cm³): 5.82
# Formation enthalpy at 0 K (meV/atom): 1056
# Calculated volume (Å³/f.u.): 115.17
# E (Ha/atom): -0.116
data_NaTlNi3
_chemical_formula_sum 'Na1 Tl1 Ni3'
_space_group_name_H-M_alt 'P m -3 m'
_space_group_IT_number 221
_space_group_name_Hall '-P 4 2 3'
_cell_length_a 4.865
_cell_length_b 4.865
_cell_length_c 4.865
_cell_angle_alpha 90.00
_cell_angle_beta 90.00
_cell_angle_gamma 90.00
loop_
_atom_site_label
_atom_site_type_symbol
_atom_site_fract_x
_atom_site_fract_y
_atom_site_fract_z
Na1 Na 0.000 0.000 0.000
Tl1 Tl 0.500 0.500 0.500
Ni1 Ni 0.000 0.500 0.500



Record 9
# Tb4MgPt (PBE, optimized geometry)
# Excess energy over the best structure of this formula in the dataset (meV/atom): 462.1
# Density (g/cm³): 6.91
# Formation enthalpy at 0 K (meV/atom): -52
# Calculated volume (Å³/f.u.): 205.36
# E (Ha/atom): -0.162
data_Tb4MgPt
_chemical_formula_sum 'Tb16 Mg4 Pt4'
_space_group_name_H-M_alt 'I 41 m d'
_space_group_IT_number 109
_space_group_name_Hall 'I 4bw -2'
_cell_length_a 9.236
_cell_length_b 9.236
_cell_length_c 9.629
_cell_angle_alpha 90.00
_cell_angle_beta 90.00
_cell_angle_gamma 90.00
loop_
_atom_site_label
_atom_site_type_symbol
_atom_site_fract_x
_atom_site_fract_y
_atom_site_fract_z
Tb1 Tb 0.000 0.302 0.000
Tb2 Tb 0.000 0.317 0.449
Mg1 Mg 0.000 0.000 0.480
Pt1 Pt 0.000 0.000 0.972



Record 10
# PuGe2IrRh (PBE, optimized geometry)
# Density (g/cm³): 12.55
# Formation enthalpy at 0 K (meV/atom): -641
# Calculated volume (Å³/f.u.): 90.53
# E (Ha/atom): -0.316
data_PuGe2IrRh
_chemical_formula_sum 'Pu2 Ge4 Ir2 Rh2'
_space_group_name_H-M_alt 'I -4 m 2'
_space_group_IT_number 119
_space_group_name_Hall 'I -4 -2'
_cell_length_a 4.144
_cell_length_b 4.144
_cell_length_c 10.541
_cell_angle_alpha 90.00
_cell_angle_beta 90.00
_cell_angle_gamma 90.00
loop_
_atom_site_label
_atom_site_type_symbol
_atom_site_fract_x
_atom_site_fract_y
_atom_site_fract_z
Pu1 Pu 0.000 0.000 0.000
Ge1 Ge 0.000 0.000 0.378
Ir1 Ir 0.000 0.500 0.250
Rh1 Rh 0.000 0.500 0.750



Record 11
# SbMo2Os (PBE, optimized geometry)
# E_form (uncorrected) (meV per atom): 379
# Density (g/cm³): 12.74
# Calculated volume (Å³/f.u.): 65.66
# E (Ha/atom): -0.326
data_SbMo2Os
_chemical_formula_sum 'Sb4 Mo8 Os4'
_space_group_name_H-M_alt 'F -4 3 m'
_space_group_IT_number 216
_space_group_name_Hall 'F -4 2 3'
_cell_length_a 6.404
_cell_length_b 6.404
_cell_length_c 6.404
_cell_angle_alpha 90.00
_cell_angle_beta 90.00
_cell_angle_gamma 90.00
loop_
_atom_site_label
_atom_site_type_symbol
_atom_site_fract_x
_atom_site_fract_y
_atom_site_fract_z
Sb1 Sb 0.000 0.000 0.000
Mo1 Mo 0.000 0.000 0.500
Mo2 Mo 0.250 0.250 0.250
Os1 Os 0.250 0.250 0.750



Record 12
# B2Mo2Os (PBE, optimized geometry)
# Excess energy over the best structure of this formula in the dataset (meV/atom): 1036.3
# Density (g/cm³): 10.91
# Formation enthalpy at 0 K (meV/atom): 681
# Calculated volume (Å³/f.u.): 61.46
# E (Ha/atom): -0.315
data_B2Mo2Os
_chemical_formula_sum 'B4 Mo4 Os2'
_space_group_name_H-M_alt 'P 4/m b m'
_space_group_IT_number 127
_space_group_name_Hall '-P 4 2ab'
_cell_length_a 6.634
_cell_length_b 6.634
_cell_length_c 2.793
_cell_angle_alpha 90.00
_cell_angle_beta 90.00
_cell_angle_gamma 90.00
loop_
_atom_site_label
_atom_site_type_symbol
_atom_site_fract_x
_atom_site_fract_y
_atom_site_fract_z
B1 B 0.161 0.339 0.000
Mo1 Mo 0.137 0.637 0.500
Os1 Os 0.000 0.000 0.500